(1)
VASP calculation (PBE) on a geometry-optimized TiZn3Mo structure.

a b c (Å): 4.733 4.733 4.733
angles (deg): 90.00 90.00 90.00
Element x y z (fractional)
Ti 0.000 0.000 0.000
Zn 0.000 0.500 0.500
Zn 0.500 0.000 0.500
Zn 0.500 0.500 0.000
Mo 0.500 0.500 0.500

Computed properties:
- Energy relative to the lowest polymorph listed for this composition: 0 meV/atom
- Symmetry: Pm-3m (221)
- Magnetic moment: 0.0 μB per formula unit
- Total energy: -3.432 eV/atom
- E_form: 1.078 eV per atom



(2)
VASP calculation (PBE) on a geometry-optimized Ti4ZnMo structure.

a b c (Å): 4.898 4.898 8.599
angles (deg): 117.68 117.68 32.91
Element x y z (fractional)
Ti 0.151 0.151 0.338
Ti 0.187 0.187 0.826
Ti 0.813 0.813 0.174
Ti 0.849 0.849 0.662
Zn 0.500 0.500 0.500
Mo 0.500 0.500 0.000

Computed properties:
- Energy relative to the lowest polymorph listed for this composition: 0 meV/atom
- Symmetry: C2/m (12)
- Magnetic moment: 0.0 μB per formula unit
- Total energy: -7.265 eV/atom
- E_form: 0.016 eV per atom



(3)
VASP calculation (PBE) on a geometry-optimized TiZnMo2 structure.

a b c (Å): 5.653 5.653 5.653
angles (deg): 102.66 102.66 124.17
Element x y z (fractional)
Ti 0.000 0.000 0.000
Ti 0.750 0.250 0.500
Zn 0.250 0.750 0.500
Zn 0.500 0.500 0.000
Mo 0.133 0.625 0.008
Mo 0.375 0.383 0.508
Mo 0.617 0.125 0.992
Mo 0.875 0.867 0.492

Computed properties:
- Symmetry: I-42d (122)
- Magnetic moment: 0.0 μB per formula unit
- Total energy: -7.123 eV/atom
- E_form: 0.584 eV per atom



(4)
VASP calculation (PBE) on a geometry-optimized Ti6Zn5Mo structure.

a b c (Å): 7.044 7.044 6.288
angles (deg): 90.00 90.00 143.00
Element x y z (fractional)
Ti 0.000 0.000 0.248
Ti 0.000 0.000 0.752
Ti 0.335 0.665 0.246
Ti 0.335 0.665 0.754
Ti 0.665 0.335 0.246
Ti 0.665 0.335 0.754
Zn 0.165 0.835 0.000
Zn 0.169 0.831 0.500
Zn 0.500 0.500 0.500
Zn 0.831 0.169 0.500
Zn 0.835 0.165 0.000
Mo 0.500 0.500 0.000

Computed properties:
- Symmetry: Cmmm (65)
- Magnetic moment: 0.0 μB per formula unit
- Total energy: -5.580 eV/atom
- E_form: -0.199 eV per atom



(5)
VASP calculation (PBE) on a geometry-optimized Ti5Zn2Mo structure.

a b c (Å): 6.923 6.923 6.923
angles (deg): 141.30 141.30 55.89
Element x y z (fractional)
Ti 0.000 0.000 0.000
Ti 0.121 0.621 0.500
Ti 0.379 0.879 0.500
Ti 0.621 0.121 0.500
Ti 0.879 0.379 0.500
Zn 0.248 0.248 0.000
Zn 0.752 0.752 0.000
Mo 0.500 0.500 0.000

Computed properties:
- Symmetry: I4/mmm (139)
- Magnetic moment: 0.0 μB per formula unit
- Total energy: -6.733 eV/atom
- E_form: -0.126 eV per atom



(6)
VASP calculation (PBE) on a geometry-optimized Ti3ZnMo structure.

a b c (Å): 4.733 4.733 4.733
angles (deg): 90.00 90.00 90.00
Element x y z (fractional)
Ti 0.000 0.000 0.500
Ti 0.000 0.500 0.000
Ti 0.500 0.000 0.000
Zn 0.500 0.500 0.500
Mo 0.000 0.000 0.000

Computed properties:
- Energy relative to the lowest polymorph listed for this composition: 943 meV/atom
- Symmetry: Pm-3m (221)
- Magnetic moment: 0.7 μB per formula unit
- Total energy: -6.347 eV/atom
- E_form: 0.811 eV per atom



(7)
VASP calculation (PBE) on a geometry-optimized Ti2Zn2Mo structure.

a b c (Å): 7.128 7.128 3.063
angles (deg): 90.00 90.00 90.00
Element x y z (fractional)
Ti 0.180 0.320 0.000
Ti 0.320 0.820 0.000
Ti 0.680 0.180 0.000
Ti 0.820 0.680 0.000
Zn 0.121 0.621 0.500
Zn 0.379 0.121 0.500
Zn 0.621 0.879 0.500
Zn 0.879 0.379 0.500
Mo 0.000 0.000 0.500
Mo 0.500 0.500 0.500

Computed properties:
- Energy relative to the lowest polymorph listed for this composition: 216 meV/atom
- Symmetry: P4/mbm (127)
- Magnetic moment: 0.0 μB per formula unit
- Total energy: -5.786 eV/atom
- E_form: 0.048 eV per atom



(8)
VASP calculation (PBE) on a geometry-optimized Ti2ZnMo2 structure.

a b c (Å): 6.896 6.896 3.502
angles (deg): 90.00 90.00 90.00
Element x y z (fractional)
Ti 0.159 0.341 0.000
Ti 0.341 0.841 0.000
Ti 0.659 0.159 0.000
Ti 0.841 0.659 0.000
Zn 0.000 0.000 0.500
Zn 0.500 0.500 0.500
Mo 0.145 0.645 0.500
Mo 0.355 0.145 0.500
Mo 0.645 0.855 0.500
Mo 0.855 0.355 0.500

Computed properties:
- Symmetry: P4/mbm (127)
- Magnetic moment: 0.0 μB per formula unit
- Total energy: -7.567 eV/atom
- E_form: 0.178 eV per atom